<A>
First-principles (PBE-GGA) data for a geometry-optimized NdDyFe structure, as listed in Alexandria.

```
3
Lattice="-3.1567 -1.3566 -0.0697 1.1081 -2.4697 -2.1173 2.5044 -1.7930 6.1911" Properties=species:S:1:pos:R:3 pbc="T T T"
Dy 0.1223 -0.3063 0.4212
Nd 0.8757 -2.1928 3.0161
Fe -0.5422 -3.1202 0.5667
```

Summary:
Fermi-level density of states: 3.9 states/eV/f.u.
Total moment: 1.00 μB per cell



<B>
First-principles (PBE-GGA) data for a geometry-optimized NdDyFe structure, as listed in Alexandria.

```
12
Lattice="-5.1553 2.1387 4.1881 -1.4812 -3.7860 -5.7030 0.6380 -6.2080 3.9556" Properties=species:S:1:pos:R:3 pbc="T T T"
Fe -5.8793 -1.4189 -0.6995
Dy -1.9549 -7.6821 -1.3899
Dy -1.4659 -1.2426 1.7366
Dy -4.5326 -6.6127 0.7041
Fe -0.1192 -6.4364 3.1402
Dy -4.0436 -0.1733 3.8307
Fe -2.9623 -2.7840 3.5884
Nd -2.3809 -2.3397 -1.7359
Fe -3.0362 -5.0713 -1.1476
Nd -1.2155 -4.8772 0.9944
Nd -4.7830 -2.9781 1.4463
Nd -3.6176 -5.5157 4.1767
```

Summary:
Fermi-level density of states: 3.8 states/eV/f.u.
Total moment: 3.36 μB per cell



Stability, highest: <B>



<A>
First-principles (PBE-GGA) data for a geometry-optimized DyNpFe4 structure, as listed in Alexandria.

```
6
Lattice="5.0428 0.0000 0.0000 2.5214 4.3672 0.0000 2.5214 1.4557 4.1174" Properties=species:S:1:pos:R:3 pbc="T T T"
Fe 5.0428 1.4651 2.5701
Dy 0.0000 0.0000 0.0000
Fe 5.0428 2.9114 0.5246
Fe 3.7902 3.6346 2.5701
Np 2.5214 1.4557 1.0293
Fe 6.2953 3.6346 2.5701
```

Summary:
Fermi-level density of states: 13.3 states/eV/f.u.
Total moment: 8.66 μB per cell



<B>
First-principles (PBE-GGA) data for a geometry-optimized DyNpFe4 structure, as listed in Alexandria.

```
12
Lattice="-3.1607 3.6424 0.9148 -1.6270 -4.2676 -1.7984 -1.0848 -2.9403 7.9589" Properties=species:S:1:pos:R:3 pbc="T T T"
Np -3.6862 -1.8045 7.6171
Fe -0.5424 -1.4702 3.9794
Fe -3.9936 -0.5494 1.5579
Fe -3.1778 1.5905 2.4596
Fe 0.0000 0.0000 0.0000
Fe -2.6947 -5.1560 4.6157
Fe -1.5930 -0.2359 2.0009
Np -2.1863 -1.7611 -0.5418
Fe -1.8789 -3.0162 5.5175
Dy -3.2695 -0.6749 4.5596
Dy -2.6030 -2.8906 2.5157
Fe -4.2795 -3.3297 5.0745
```

Summary:
Fermi-level density of states: 11.4 states/eV/f.u.
Total moment: 13.67 μB per cell



Stability, highest: <B>



<A>
First-principles (PBE-GGA) data for a geometry-optimized DyPaFe structure, as listed in Alexandria.

```
3
Lattice="3.3827 0.0000 0.0000 0.0000 3.3827 0.0000 -1.6913 -1.6913 5.5358" Properties=species:S:1:pos:R:3 pbc="T T T"
Fe 1.6913 1.6913 2.2101
Pa 0.0000 0.0000 3.2835
Dy 0.0000 0.0000 0.0422
```

Summary:
Fermi-level density of states: 3.8 states/eV/f.u.
Total moment: 0.00 μB per cell



<B>
First-principles (PBE-GGA) data for a geometry-optimized DyPaFe structure, as listed in Alexandria.

```
3
Lattice="-1.4027 2.3010 2.4557 -2.2131 -1.9764 -2.1188 -0.0116 -4.4624 4.1746" Properties=species:S:1:pos:R:3 pbc="T T T"
Dy -0.0109 -4.2018 3.9309
Pa -1.6778 -1.0275 2.7109
Fe -1.9503 -3.3707 2.0444
```

Summary:
Fermi-level density of states: 4.0 states/eV/f.u.
Total moment: 0.00 μB per cell



<C>
First-principles (PBE-GGA) data for a geometry-optimized DyPaFe structure, as listed in Alexandria.

```
12
Lattice="-0.1483 5.2147 -3.0345 1.8868 -3.2188 -5.6237 -6.9527 -0.0018 0.3367" Properties=species:S:1:pos:R:3 pbc="T T T"
Pa -1.3218 1.3879 -1.3959
Dy -0.4215 3.2493 -4.6025
Dy -3.8681 2.2017 -3.8251
Fe -2.4631 2.3397 -6.5921
Pa -4.7773 0.6529 -0.8004
Dy -4.7928 -1.2552 -3.7190
Fe -6.2704 1.1574 -2.4361
Dy -1.3462 -0.2076 -4.4964
Pa -0.4370 1.3411 -7.5211
Fe -2.7512 -0.3456 -1.7293
Fe 1.0560 0.8366 -5.8853
Pa -3.8925 0.6062 -6.9255
```

Summary:
Fermi-level density of states: 3.3 states/eV/f.u.
Total moment: 0.00 μB per cell



<D>
First-principles (PBE-GGA) data for a geometry-optimized DyPaFe structure, as listed in Alexandria.

```
6
Lattice="-3.3995 1.0396 -0.3639 -0.6907 -3.7295 -4.2023 0.3596 -2.0733 8.2627" Properties=species:S:1:pos:R:3 pbc="T T T"
Pa -0.8056 -2.4934 0.4026
Dy -1.2201 -1.7494 6.3999
Fe -0.7619 -1.3582 3.2373
Pa -2.9249 -2.2698 3.2938
Fe -2.9686 -3.4051 0.4591
Dy -2.5104 -3.0138 -2.7035
```

Summary:
Fermi-level density of states: 3.2 states/eV/f.u.
Total moment: 0.00 μB per cell



Stability, highest: <C>